Entry 1:
The following is a DFT calculation (GGA-PBEsol) of Co3Ni after structural relaxation.

Computed properties:
Energy of formation, eV/atom: 0.01
Size of the total moment, μB/f.u.: 5.49

Cell lengths 2.444, 2.444, 8.135 Å; angles 81.36, 81.36, 60.00 degrees
Last column: magnetic moment on the atom in μB.
Fractional coordinates of all 4 atoms:
1 Co 0.249 0.249 0.252  1.62
2 Ni 0.000 0.000 0.000  0.70
3 Co 0.500 0.500 0.500  1.61
4 Co 0.751 0.751 0.748  1.62



Entry 2:
The following is a DFT calculation (GGA-PBEsol) of Co2Ni after structural relaxation.

Computed properties:
Energy of formation, eV/atom: 0.12
Size of the total moment, μB/f.u.: 3.91

Cell lengths 2.881, 2.881, 4.312 Å; angles 109.52, 109.52, 90.00 degrees
Last column: magnetic moment on the atom in μB.
Fractional coordinates of all 3 atoms:
1 Co 0.669 0.669 0.338  1.70
2 Co 0.331 0.331 0.662  1.70
3 Ni 0.000 0.000 0.000  0.57



Entry 3:
The following is a DFT calculation (GGA-PBEsol) of Co5Ni after structural relaxation.

Computed properties:
Energy of formation, eV/atom: -0.01
Distance to the lowest polymorph of the same formula, meV/atom: 2
Size of the total moment, μB/f.u.: 8.55

Cell lengths 2.448, 3.960, 6.501 Å; angles 90.00, 100.85, 90.00 degrees
Last column: magnetic moment on the atom in μB.
Fractional coordinates of all 6 atoms:
1 Co 0.667 0.000 0.334  1.62
2 Co 0.334 0.000 0.667  1.56
3 Co 0.778 0.500 0.556  1.58
4 Ni 0.111 0.500 0.223  0.74
5 Co 0.000 0.000 0.999  1.57
6 Co 0.444 0.500 0.887  1.58



Which of these has the highest size of the total moment? Co5Ni